KYAu2 | meta-GGA SCAN | PBEsol geometry

Its energy above the lowest structure with this stoichiometry is 160 meV/atom. The energy of formation is -13.70 kcal/mol of atoms. The crystal system is tetragonal. The total energy comes out at -176.863 eV per cell. Its density of states at the Fermi level is 2.64 states/eV per cell. Its theoretical density is 9.2 Mg/m³.

abc: 5.2857 5.2857 3.3691
angles: 90.00 90.00 90.00
With the nearest neighbours (Å) after each atom.
Positions (direct):
K1 0.0000 0.0000 0.0000  8 Au 3.13, 2 K 3.37
Y1 0.5000 0.5000 0.0000  8 Au 3.13, 2 Y 3.37
Au1 0.0000 0.5000 0.5000  4 K 3.13, 4 Y 3.13, 2 Au 3.37
Au2 0.5000 0.0000 0.5000  4 K 3.13, 4 Y 3.13, 2 Au 3.37